1.
Here is a relaxed structure of Ba3Sn2Hg9 from the Alexandria database. Energies are from GGA-PBE.

The structure in extended XYZ format:
```
14
Lattice="-4.175 3.359 0.673 -5.979 -4.331 6.198 0.306 2.881 9.194" Properties=species:S:1:pos:R:3 pbc="T T T"
Hg -8.542 0.426 9.891
Hg -3.930 -1.529 4.922
Hg -8.446 -0.093 13.076
Hg -2.836 -0.725 7.696
Hg -3.225 -0.092 2.119
Hg -1.401 2.001 2.989
Hg -1.305 1.483 6.173
Hg -5.917 3.438 11.143
Hg -6.622 2.000 13.945
Ba -5.245 -0.079 11.195
Ba 0.000 0.000 0.000
Ba -4.602 1.988 4.869
Sn -3.900 2.129 8.520
Sn -5.948 -0.220 7.544
```

Raw total energy   -1.55 eV/atom
Calculated density   9.7 Mg/m³
ΔH_f (0 K)   -0.37 eV/atom

2.
Here is a relaxed structure of BaSn4Hg from the Alexandria database. Energies are from GGA-PBE.

The structure in extended XYZ format:
```
6
Lattice="6.382 0.000 0.000 3.191 5.527 0.000 3.191 1.842 5.211" Properties=species:S:1:pos:R:3 pbc="T T T"
Sn 6.382 1.851 3.254
Sn 6.382 3.685 0.661
Sn 4.794 4.601 3.254
Sn 7.970 4.601 3.254
Hg 3.191 1.842 1.303
Ba 0.000 0.000 0.000
```

Raw total energy   -3.29 eV/atom
Calculated density   7.3 Mg/m³
ΔH_f (0 K)   -0.25 eV/atom
Offset from the most stable computed form   49.9 meV/atom